Arrangement w

Computed, not measured: crystalline CoNi2Ru at its relaxed geometry at the GGA-PBE level of DFT.

It has space group Fm-3m (No. 225), with a = 5.731 Å, b = 5.731 Å, c = 5.731 Å, α = 90.00°, β = 90.00° and γ = 90.00°. The inequivalent atoms are Co at (0.000, 0.000, 0.000), Ni at (0.250, 0.250, 0.250) and Ru at (0.000, 0.000, 0.500).

Arrangement x

Computed, not measured: crystalline CoNi2Ru at its relaxed geometry at the GGA-PBE level of DFT.

It has space group I-4m2 (No. 119), with a = 3.567 Å, b = 3.567 Å, c = 7.229 Å, α = 90.00°, β = 90.00° and γ = 90.00°. The inequivalent atoms are Co at (0.000, 0.000, 0.000), Ni at (0.000, 0.000, 0.500), Ni at (0.000, 0.500, 0.750) and Ru at (0.000, 0.500, 0.250).

Most stable: arrangement x

Arrangement w

Computed, not measured: crystalline Co2Ni2Ru at its relaxed geometry at the GGA-PBE level of DFT.

It has space group P4/mbm (No. 127), with a = 6.843 Å, b = 6.843 Å, c = 2.538 Å, α = 90.00°, β = 90.00° and γ = 90.00°. The inequivalent atoms are Co at (0.120, 0.380, 0.000), Ni at (0.176, 0.676, 0.500) and Ru at (0.000, 0.000, 0.000).

Arrangement x

Computed, not measured: crystalline Co2Ni2Ru at its relaxed geometry at the GGA-PBE level of DFT.

It has space group P4/mbm (No. 127), with a = 6.825 Å, b = 6.825 Å, c = 2.537 Å, α = 90.00°, β = 90.00° and γ = 90.00°. The inequivalent atoms are Co at (0.174, 0.326, 0.000), Ni at (0.123, 0.623, 0.500) and Ru at (0.000, 0.000, 0.500).

Most stable: arrangement x

Arrangement w

Computed, not measured: crystalline Co2NiRu2 at its relaxed geometry at the GGA-PBE level of DFT.

It has space group P4/mbm (No. 127), with a = 6.917 Å, b = 6.917 Å, c = 2.637 Å, α = 90.00°, β = 90.00° and γ = 90.00°. The inequivalent atoms are Co at (0.119, 0.381, 0.000), Ni at (0.000, 0.000, 0.000) and Ru at (0.177, 0.677, 0.500).

Arrangement x

Computed, not measured: crystalline Co2NiRu2 at its relaxed geometry at the GGA-PBE level of DFT.

It has space group P4/mbm (No. 127), with a = 7.045 Å, b = 7.045 Å, c = 2.625 Å, α = 90.00°, β = 90.00° and γ = 90.00°. The inequivalent atoms are Co at (0.166, 0.334, 0.000), Ni at (0.000, 0.000, 0.500) and Ru at (0.130, 0.630, 0.500).

Most stable: arrangement w

Arrangement w

Computed, not measured: crystalline CoNiRu3 at its relaxed geometry at the GGA-PBE level of DFT.

It has space group Pm-3m (No. 221), with a = 4.353 Å, b = 4.353 Å, c = 4.353 Å, α = 90.00°, β = 90.00° and γ = 90.00°. The inequivalent atoms are Co at (0.000, 0.000, 0.000), Ni at (0.500, 0.500, 0.500) and Ru at (0.000, 0.000, 0.500).

Arrangement x

Computed, not measured: crystalline CoNiRu3 at its relaxed geometry at the GGA-PBE level of DFT.

It has space group Pm-3m (No. 221), with a = 4.370 Å, b = 4.370 Å, c = 4.370 Å, α = 90.00°, β = 90.00° and γ = 90.00°. The inequivalent atoms are Co at (0.000, 0.000, 0.000), Ni at (0.500, 0.500, 0.500) and Ru at (0.000, 0.500, 0.500).

Most stable: arrangement w

Arrangement w

Computed, not measured: crystalline TaCoNiRu at its relaxed geometry at the GGA-PBE level of DFT.

It has space group F-43m (No. 216), with a = 6.009 Å, b = 6.009 Å, c = 6.009 Å, α = 90.00°, β = 90.00° and γ = 90.00°. The inequivalent atoms are Ta at (0.000, 0.000, 0.000), Co at (0.250, 0.250, 0.250), Ni at (0.000, 0.000, 0.500) and Ru at (0.250, 0.250, 0.750).

Arrangement x

Computed, not measured: crystalline TaCoNiRu at its relaxed geometry at the GGA-PBE level of DFT.

It has space group Pmmm (No. 47), with a = 3.718 Å, b = 3.765 Å, c = 3.774 Å, α = 90.00°, β = 90.00° and γ = 90.00°. The inequivalent atoms are Ta at (0.000, 0.000, 0.000), Co at (0.500, 0.000, 0.500), Ni at (0.000, 0.500, 0.500) and Ru at (0.500, 0.500, 0.000).

Most stable: arrangement x

Arrangement w

Computed, not measured: crystalline CoNiRuW at its relaxed geometry at the GGA-PBE level of DFT.

It has space group Pmmm (No. 47), with a = 3.634 Å, b = 3.733 Å, c = 3.773 Å, α = 90.00°, β = 90.00° and γ = 90.00°. The inequivalent atoms are Co at (0.000, 0.000, 0.000), Ni at (0.500, 0.500, 0.000), Ru at (0.000, 0.500, 0.500) and W at (0.500, 0.000, 0.500).

Arrangement x

Computed, not measured: crystalline CoNiRuW at its relaxed geometry at the GGA-PBE level of DFT.

It has space group F-43m (No. 216), with a = 5.934 Å, b = 5.934 Å, c = 5.934 Å, α = 90.00°, β = 90.00° and γ = 90.00°. The inequivalent atoms are Co at (0.000, 0.000, 0.000), Ni at (0.250, 0.250, 0.750), Ru at (0.000, 0.000, 0.500) and W at (0.250, 0.250, 0.250).

Most stable: arrangement w

Arrangement w

Computed, not measured: crystalline CoNiS3 at its relaxed geometry at the GGA-PBE level of DFT.

It has space group C2/c (No. 15), with a = 10.889 Å, b = 10.393 Å, c = 5.638 Å, α = 90.00°, β = 104.35° and γ = 90.00°. The inequivalent atoms are Co at (0.246, 0.094, 0.496), Ni at (0.000, 0.149, 0.250), Ni at (0.000, 0.395, 0.750), S at (0.116, 0.254, 0.565), S at (0.130, 0.453, 0.129) and S at (0.155, 0.092, 0.093).

Arrangement x

Computed, not measured: crystalline CoNiS3 at its relaxed geometry at the GGA-PBE level of DFT.

It has space group Pnma (No. 62), with a = 8.751 Å, b = 3.352 Å, c = 9.944 Å, α = 90.00°, β = 90.00° and γ = 90.00°. The inequivalent atoms are Co at (0.161, 0.250, 0.032), Ni at (0.024, 0.250, 0.653), S at (0.030, 0.750, 0.120), S at (0.149, 0.250, 0.445) and S at (0.180, 0.750, 0.697).

Most stable: arrangement x

Arrangement w

Computed, not measured: crystalline CoNiS4 at its relaxed geometry at the GGA-PBE level of DFT.

It has space group P-1 (No. 2), with a = 3.372 Å, b = 5.819 Å, c = 5.854 Å, α = 60.24°, β = 73.48° and γ = 73.38°. The inequivalent atoms are Co at (0.000, 0.000, 0.000), Ni at (0.500, 0.500, 0.500), S at (0.116, 0.209, 0.555) and S at (0.383, 0.283, 0.953).

Arrangement x

Computed, not measured: crystalline CoNiS4 at its relaxed geometry at the GGA-PBE level of DFT.

It has space group P2_1/c (No. 14), with a = 5.570 Å, b = 5.546 Å, c = 5.541 Å, α = 90.00°, β = 90.37° and γ = 90.00°. The inequivalent atoms are Co at (0.000, 0.000, 0.000), Ni at (0.500, 0.000, 0.500), S at (0.105, 0.114, 0.615) and S at (0.386, 0.607, 0.607).

Most stable: arrangement x

Arrangement w

Computed, not measured: crystalline CoNi2Sb8 at its relaxed geometry at the GGA-PBE level of DFT.

It has space group C2/m (No. 12), with a = 13.665 Å, b = 8.027 Å, c = 4.956 Å, α = 90.00°, β = 92.10° and γ = 90.00°. The inequivalent atoms are Co at (0.000, 0.000, 0.000), Ni at (0.178, 0.000, 0.244), Sb at (0.073, 0.258, 0.260), Sb at (0.143, 0.500, 0.830) and Sb at (0.157, 0.000, 0.741).

Arrangement x

Computed, not measured: crystalline CoNi2Sb8 at its relaxed geometry at the GGA-PBE level of DFT.

It has space group P-1 (No. 2), with a = 5.375 Å, b = 6.774 Å, c = 7.728 Å, α = 108.91°, β = 90.78° and γ = 90.02°. The inequivalent atoms are Co at (0.000, 0.000, 0.000), Ni at (0.241, 0.636, 0.387), Sb at (0.244, 0.384, 0.580), Sb at (0.266, 0.859, 0.722), Sb at (0.290, 0.313, 0.107) and Sb at (0.290, 0.844, 0.176).

Most stable: arrangement x

Arrangement w

Computed, not measured: crystalline CoNiSb4 at its relaxed geometry at the GGA-PBE level of DFT.

It has space group F-43m (No. 216), with a = 8.529 Å, b = 8.529 Å, c = 8.529 Å, α = 90.00°, β = 90.00° and γ = 90.00°. The inequivalent atoms are Co at (0.000, 0.000, 0.000), Ni at (0.250, 0.250, 0.750) and Sb at (0.125, 0.125, 0.375).

Arrangement x

Computed, not measured: crystalline CoNiSb4 at its relaxed geometry at the GGA-PBE level of DFT.

It has space group P2_1/c (No. 14), with a = 6.280 Å, b = 6.297 Å, c = 6.287 Å, α = 90.00°, β = 91.66° and γ = 90.00°. The inequivalent atoms are Co at (0.000, 0.000, 0.000), Ni at (0.500, 0.000, 0.500), Sb at (0.127, 0.135, 0.640) and Sb at (0.364, 0.633, 0.625).

Most stable: arrangement x

Arrangement w

Computed, not measured: crystalline CoNiSb2Te at its relaxed geometry at the GGA-PBE level of DFT.

It has space group P4/mmm (No. 123), with a = 4.867 Å, b = 4.867 Å, c = 5.206 Å, α = 90.00°, β = 90.00° and γ = 90.00°. The inequivalent atoms are Co at (0.000, 0.000, 0.000), Ni at (0.500, 0.500, 0.500), Sb at (0.000, 0.500, 0.500) and Te at (0.500, 0.500, 0.000).

Arrangement x

Computed, not measured: crystalline CoNiSb2Te at its relaxed geometry at the GGA-PBE level of DFT.

It has space group P4/mmm (No. 123), with a = 4.756 Å, b = 4.756 Å, c = 5.241 Å, α = 90.00°, β = 90.00° and γ = 90.00°. The inequivalent atoms are Co at (0.000, 0.000, 0.000), Ni at (0.500, 0.500, 0.500), Sb at (0.000, 0.500, 0.000) and Te at (0.000, 0.000, 0.500).

Most stable: arrangement x

Arrangement w

Computed, not measured: crystalline Sc4CoNi at its relaxed geometry at the GGA-PBE level of DFT.

It has space group F-43m (No. 216), with a = 7.752 Å, b = 7.752 Å, c = 7.752 Å, α = 90.00°, β = 90.00° and γ = 90.00°. The inequivalent atoms are Sc at (0.125, 0.125, 0.125), Co at (0.250, 0.250, 0.750) and Ni at (0.000, 0.000, 0.500).

Arrangement x

Computed, not measured: crystalline Sc4CoNi at its relaxed geometry at the GGA-PBE level of DFT.

It has space group C2/c (No. 15), with a = 8.148 Å, b = 12.073 Å, c = 5.646 Å, α = 90.00°, β = 122.98° and γ = 90.00°. The inequivalent atoms are Sc at (0.127, 0.179, 0.100), Sc at (0.202, 0.437, 0.280), Co at (0.000, 0.001, 0.750) and Ni at (0.000, 0.364, 0.750).

Most stable: arrangement x